# CrAsRuO6

A relaxed CrAsRuO6 crystal (PBE+U, the Alexandria database).

**E_tot**: -6.9129 eV/atom
**Density of states at the Fermi level**: 3.22 states/eV/f.u.

a = 4.9611 Å, b = 4.9611 Å, c = 8.5770 Å
α = 90.00°, β = 90.00°, γ = 120.00°
With the nearest neighbours (Å) after each atom.
Space group P-31c (No. 163)
Asymmetric unit:
Cr 0.3333 0.6667 0.2500 [2 per cell]  6 O 1.98
As 0.3333 0.6667 0.7500 [2 per cell]  6 O 1.88
Ru 0.0000 0.0000 0.0000 [2 per cell]  6 O 2.03
O 0.0160 0.3508 0.6300 [12 per cell]  1 As 1.88, 1 Cr 1.98, 1 Ru 2.03